TaCoCu2: optimized geometry, GGA-PBE.

E_tot = -6.591 eV per atom
Fermi-level density of states = 0.9609 states/eV per atom
ΔE_f = 0.197 eV per atom
ΔE to the lowest computed polymorph = 0.69 eV/f.u.

The structure in CIF format:
```
data_TaCoCu2
_chemical_formula_sum 'Ta1 Co1 Cu2'
_symmetry_space_group_name_H-M 'P 1'
_symmetry_Int_Tables_number 1
_cell_length_a 2.7123
_cell_length_b 2.7123
_cell_length_c 7.2634
_cell_angle_alpha 90.00
_cell_angle_beta 90.00
_cell_angle_gamma 90.00
loop_
_symmetry_equiv_pos_as_xyz
'x,y,z'
loop_
_atom_site_label
_atom_site_type_symbol
_atom_site_fract_x
_atom_site_fract_y
_atom_site_fract_z
Cu1 Cu 0.0000 0.0000 0.5251
Cu2 Cu 0.0000 0.0000 0.9749
Ta1 Ta 0.5000 0.5000 0.2500
Co1 Co 0.5000 0.5000 0.7500
```

=====

Li2Hg2P: optimized geometry, GGA-PBE.

E_tot = -2.050 eV per atom
Fermi-level density of states = 0.2906 states/eV per atom
ΔE_f = -0.081 eV per atom
ΔE to the lowest computed polymorph = 0.31 eV/f.u.

The structure in CIF format:
```
data_Li2Hg2P
_chemical_formula_sum 'Li4 Hg4 P2'
_symmetry_space_group_name_H-M 'P 1'
_symmetry_Int_Tables_number 1
_cell_length_a 7.6710
_cell_length_b 7.6710
_cell_length_c 3.1574
_cell_angle_alpha 90.00
_cell_angle_beta 90.00
_cell_angle_gamma 90.00
loop_
_symmetry_equiv_pos_as_xyz
'x,y,z'
loop_
_atom_site_label
_atom_site_type_symbol
_atom_site_fract_x
_atom_site_fract_y
_atom_site_fract_z
Li1 Li 0.1615 0.6615 0.5000
Li2 Li 0.6615 0.8385 0.5000
Li3 Li 0.3385 0.1615 0.5000
Li4 Li 0.8385 0.3385 0.5000
P1 P 0.0000 0.0000 0.0000
P2 P 0.5000 0.5000 0.0000
Hg1 Hg 0.6382 0.1382 0.0000
Hg2 Hg 0.8618 0.6382 0.0000
Hg3 Hg 0.3618 0.8618 0.0000
Hg4 Hg 0.1382 0.3618 0.0000
```

=====

Co2BiB: optimized geometry, GGA-PBE.

E_tot = -5.267 eV per atom
Fermi-level density of states = 0.5690 states/eV per atom
ΔE_f = 0.926 eV per atom
ΔE to the lowest computed polymorph = 1.83 eV/f.u.

The structure in CIF format:
```
data_Co2BiB
_chemical_formula_sum 'Co2 Bi1 B1'
_symmetry_space_group_name_H-M 'P 1'
_symmetry_Int_Tables_number 1
_cell_length_a 4.2163
_cell_length_b 4.2163
_cell_length_c 4.2163
_cell_angle_alpha 60.00
_cell_angle_beta 60.00
_cell_angle_gamma 60.00
loop_
_symmetry_equiv_pos_as_xyz
'x,y,z'
loop_
_atom_site_label
_atom_site_type_symbol
_atom_site_fract_x
_atom_site_fract_y
_atom_site_fract_z
Co1 Co 0.7500 0.7500 0.7500
Co2 Co 0.2500 0.2500 0.2500
Bi1 Bi 0.5000 0.5000 0.5000
B1 B 0.0000 0.0000 0.0000
```

=====

PrAl2Zn: optimized geometry, GGA-PBE.

E_tot = -3.538 eV per atom
Fermi-level density of states = 0.8219 states/eV per atom
ΔE_f = -0.153 eV per atom

The structure in CIF format:
```
data_PrAl2Zn
_chemical_formula_sum 'Pr1 Al2 Zn1'
_symmetry_space_group_name_H-M 'P 1'
_symmetry_Int_Tables_number 1
_cell_length_a 3.5592
_cell_length_b 5.4342
_cell_length_c 5.4342
_cell_angle_alpha 119.75
_cell_angle_beta 90.00
_cell_angle_gamma 90.00
loop_
_symmetry_equiv_pos_as_xyz
'x,y,z'
loop_
_atom_site_label
_atom_site_type_symbol
_atom_site_fract_x
_atom_site_fract_y
_atom_site_fract_z
Pr1 Pr 0.0000 0.9450 0.0550
Al1 Al 0.5000 0.4450 0.0550
Al2 Al 0.5000 0.9450 0.5550
Zn1 Zn 0.5000 0.4450 0.5550
```